Entry 1:
The following is a DFT calculation (GGA-PBEsol) of an optimized crystal structure of Ag3Sb.

Cell and atoms, written as CIF:
```
data_Ag3Sb
_chemical_formula_sum 'Ag3 Sb1'
_cell_length_a 5.021
_cell_length_b 5.021
_cell_length_c 5.151
_cell_angle_alpha 98.71
_cell_angle_beta 98.71
_cell_angle_gamma 35.93
_space_group_name_H-M_alt 'P 1'
_space_group_IT_number 1
loop_
_space_group_symop_operation_xyz
'x,y,z'
loop_
_atom_site_label
_atom_site_fract_x
_atom_site_fract_y
_atom_site_fract_z
_atom_site_occupancy
Ag1 0.000 0.000 0.000 1
Ag2 0.253 0.253 0.762 1
Ag3 0.747 0.747 0.238 1
Sb1 0.500 0.500 0.500 1
```

Calculated values
raw formation energy	69	meV per atom
space group	C2/m (12)
total magnetization	0.0	μB per cell
volume	75.22	Å³/f.u.
DOS(E_F)	0.27	states/eV per atom
final energy	-3.554	eV per atom

***

Entry 2:
The following is a DFT calculation (GGA-PBEsol) of an optimized crystal structure of Ag5Sb4.

Cell and atoms, written as CIF:
```
data_Ag5Sb4
_chemical_formula_sum 'Ag5 Sb4'
_cell_length_a 6.913
_cell_length_b 6.913
_cell_length_c 6.913
_cell_angle_alpha 95.67
_cell_angle_beta 95.67
_cell_angle_gamma 143.36
_space_group_name_H-M_alt 'P 1'
_space_group_IT_number 1
loop_
_space_group_symop_operation_xyz
'x,y,z'
loop_
_atom_site_label
_atom_site_fract_x
_atom_site_fract_y
_atom_site_fract_z
_atom_site_occupancy
Ag1 0.000 0.000 0.000 1
Ag2 0.340 0.340 0.679 1
Ag3 0.340 0.660 0.000 1
Ag4 0.660 0.340 0.000 1
Ag5 0.660 0.660 0.321 1
Sb1 0.000 0.304 0.304 1
Sb2 0.000 0.696 0.696 1
Sb3 0.304 0.000 0.304 1
Sb4 0.696 0.000 0.696 1
```

Calculated values
raw formation energy	68	meV per atom
space group	I4/mmm (139)
total magnetization	0.0	μB per cell
volume	187.17	Å³/f.u.
DOS(E_F)	0.32	states/eV per atom
final energy	-3.797	eV per atom

***

Entry 3:
The following is a DFT calculation (GGA-PBEsol) of an optimized crystal structure of Ag5Sb3.

Cell and atoms, written as CIF:
```
data_Ag5Sb3
_chemical_formula_sum 'Ag5 Sb3'
_cell_length_a 6.108
_cell_length_b 6.108
_cell_length_c 4.300
_cell_angle_alpha 90.00
_cell_angle_beta 90.00
_cell_angle_gamma 91.66
_space_group_name_H-M_alt 'P 1'
_space_group_IT_number 1
loop_
_space_group_symop_operation_xyz
'x,y,z'
loop_
_atom_site_label
_atom_site_fract_x
_atom_site_fract_y
_atom_site_fract_z
_atom_site_occupancy
Ag1 0.000 0.000 0.000 1
Ag2 0.000 0.500 0.000 1
Ag3 0.249 0.249 0.500 1
Ag4 0.500 0.000 0.000 1
Ag5 0.751 0.751 0.500 1
Sb1 0.229 0.771 0.500 1
Sb2 0.500 0.500 0.000 1
Sb3 0.771 0.229 0.500 1
```

Calculated values
raw formation energy	88	meV per atom
space group	Cmmm (65)
total magnetization	0.0	μB per cell
volume	160.33	Å³/f.u.
DOS(E_F)	0.33	states/eV per atom
final energy	-3.691	eV per atom